# 1
VASP calculation (GGA-PBE) on crystalline Sm2GeF at its relaxed geometry.

The value obtained for the total magnetization is 0.0 Bohr magnetons per cell. Its density of states at the Fermi level is 0.675 states/eV per atom. The space group is R-3m (166). For the uncorrected formation energy, the calculation gives -634 kJ/mol of formula units.

a b c (Å): 4.3984 4.3984 7.8976
angles (deg): 73.83 73.83 60.00
Element x y z (fractional)
1 Ge 0.5000 0.5000 0.5000
2 Sm 0.1013 0.1013 0.6962
3 Sm 0.8987 0.8987 0.3038
4 F 0.0000 0.0000 0.0000

# 2
VASP calculation (GGA-PBE) on crystalline SmGe2F8 at its relaxed geometry.

The value obtained for the total magnetization is 0.0 Bohr magnetons per cell. Its density of states at the Fermi level is 0.097 states/eV per atom. The space group is C2/m (12). For the uncorrected formation energy, the calculation gives -2820 kJ/mol of formula units.

a b c (Å): 6.0677 5.8060 5.8060
angles (deg): 51.27 83.73 83.73
Element x y z (fractional)
1 Sm 0.0000 0.0000 0.0000
2 Ge 0.6340 0.7621 0.7621
3 Ge 0.3660 0.2379 0.2379
4 F 0.2015 0.3893 0.9126
5 F 0.7985 0.0874 0.6107
6 F 0.3499 0.9036 0.9036
7 F 0.6501 0.0964 0.0964
8 F 0.2015 0.9126 0.3893
9 F 0.7985 0.6107 0.0874
10 F 0.8358 0.6071 0.6071
11 F 0.1642 0.3929 0.3929